1.
The following is a GGA-PBE calculation of a relaxed Li2BiAu crystal, from the Alexandria database.

## Properties
- total magnetic moment (μB/atom) = 0.000
- V (Å³/atom) = 19.4
- calculated density (g/cm3) = 8.98
- N(E_F) (states/eV per cell) = 1.52
- energy (eV per atom) = -3.17
- energy relative to the elements (meV/atom) = -423

a = 4.3132 Å, b = 4.3132 Å, c = 4.1735 Å
α = 90.00°, β = 90.00°, γ = 90.00°
Closest atoms and distances in Å follow each position.
Space group P4/mmm (No. 123)
Unique sites:
Li: 0.0000 0.5000 0.0000  4 Au 3.00, 4 Bi 3.00, 4 Li 3.05
Bi: 0.0000 0.0000 0.5000  8 Li 3.00, 4 Au 3.05
Au: 0.5000 0.5000 0.5000  8 Li 3.00, 4 Bi 3.05

2.
The following is a GGA-PBE calculation of a relaxed TiBeSeN2 crystal, from the Alexandria database.

## Properties
- uncorrected formation energy (meV/atom) = 608
- total magnetic moment (μB/atom) = 0.000
- V (Å³/atom) = 11.9
- calculated density (g/cm3) = 4.56
- N(E_F) (states/eV per cell) = 2.97
- energy relative to the lowest polymorph listed for this composition (meV/atom) = 159
- energy (eV per atom) = -5.74

a = 3.5266 Å, b = 3.5266 Å, c = 4.8010 Å
α = 90.00°, β = 90.00°, γ = 90.00°
Closest atoms and distances in Å follow each position.
Space group P4/mmm (No. 123)
Unique sites:
Ti: 0.0000 0.0000 0.0000  4 Se 2.49
Be: 0.5000 0.5000 0.5000  4 N 1.76
Se: 0.5000 0.5000 0.0000  2 Be 2.40, 4 Ti 2.49
N: 0.0000 0.5000 0.5000  2 Be 1.76

3.
The following is a GGA-PBE calculation of a relaxed Tb2SmYTm6 crystal, from the Alexandria database.

## Properties
- total magnetic moment (μB/atom) = 0.000
- V (Å³/atom) = 31.5
- calculated density (g/cm3) = 8.28
- N(E_F) (states/eV per cell) = 56.79
- energy (eV per atom) = -4.61
- energy relative to the elements (meV/atom) = 120

a = 8.9514 Å, b = 14.9481 Å, c = 9.4994 Å
α = 90.00°, β = 97.81°, γ = 90.00°
Closest atoms and distances in Å follow each position.
Space group C2/c (No. 15)
Unique sites:
Tb: 0.2489 0.0531 0.0444  6 Tm 3.25-3.56, 2 Sm 3.36, 1 Y 3.52
Sm: 0.0000 0.0231 0.7500  4 Tb 3.36, 4 Tm 3.55-3.66
Y: 0.0000 0.4083 0.2500  8 Tm 3.40-3.76, 2 Tb 3.52
Tm: 0.0638 0.1887 0.4426  7 Tm 3.36-3.68, 1 Tb 3.47, 1 Sm 3.66
Tm: 0.1017 0.3924 0.6193  4 Tm 3.17-3.47, 3 Tb 3.25-3.39, 2 Y 3.40-3.51
Tm: 0.2033 0.2260 0.8171  3 Tm 3.17-3.54, 1 Tb 3.36, 1 Y 3.46, 1 Sm 3.55

4.
The following is a GGA-PBE calculation of a relaxed PaAl2Sn crystal, from the Alexandria database.

## Properties
- total magnetic moment (μB/atom) = 0.090
- V (Å³/atom) = 22.3
- calculated density (g/cm3) = 7.50
- N(E_F) (states/eV per cell) = 14.70
- energy relative to the lowest polymorph listed for this composition (meV/atom) = 388
- energy (eV per atom) = -5.13
- energy relative to the elements (meV/atom) = 121

a = 4.6517 Å, b = 4.6517 Å, c = 14.3003 Å
α = 90.00°, β = 90.00°, γ = 120.00°
Closest atoms and distances in Å follow each position.
Space group R-3m (No. 166, hexagonal axes)
Unique sites:
Pa: 0.0000 0.0000 0.0000  8 Al 3.11-3.19
Al: 0.0000 0.0000 0.2232  3 Sn 2.80, 3 Pa 3.11, 3 Al 3.13
Sn: 0.0000 0.0000 0.5000  6 Al 2.80

5.
The following is a GGA-PBE calculation of a relaxed LiNi4Bi12 crystal, from the Alexandria database.

## Properties
- total magnetic moment (μB/atom) = 0.000
- V (Å³/atom) = 26.7
- calculated density (g/cm3) = 10.04
- N(E_F) (states/eV per cell) = 20.08
- energy (eV per atom) = -4.25
- energy relative to the elements (meV/atom) = -41

a = 9.6883 Å, b = 9.6883 Å, c = 9.6883 Å
α = 90.00°, β = 90.00°, γ = 90.00°
Closest atoms and distances in Å follow each position.
Space group Im-3 (No. 204)
Unique sites:
Li: 0.0000 0.0000 0.0000  12 Bi 3.55
Ni: 0.2500 0.2500 0.2500  6 Bi 2.67
Bi: 0.0000 0.3282 0.1630  2 Ni 2.67

6.
The following is a GGA-PBE calculation of a relaxed YInHgB2 crystal, from the Alexandria database.

## Properties
- total magnetic moment (μB/atom) = 0.000
- V (Å³/atom) = 22.2
- calculated density (g/cm3) = 6.38
- N(E_F) (states/eV per cell) = 4.90
- energy (eV per atom) = -3.27
- energy relative to the elements (meV/atom) = 1303

a = 4.3651 Å, b = 4.3651 Å, c = 5.8165 Å
α = 90.00°, β = 90.00°, γ = 90.00°
Closest atoms and distances in Å follow each position.
Space group P4/mmm (No. 123)
Unique sites:
Y: 0.0000 0.0000 0.0000  2 Hg 2.91, 4 In 3.09
In: 0.5000 0.5000 0.0000  4 Y 3.09
Hg: 0.0000 0.0000 0.5000  4 B 2.18
B: 0.0000 0.5000 0.5000  2 Hg 2.18

Q: total magnetic moment of number 5 (LiNi4Bi12)?
A: 0.000 μB/atom

Q: Number 4 is which compound?
A: PaAl2Sn